No. 1
First-principles (PBE) data for an optimized crystal structure of NaH8Pt2, as listed in Alexandria.

Cell and atoms, written as POSCAR:
```
NaH8Pt2
1.0
-1.434 -3.107 0.957
4.577 -2.501 -1.264
4.077 -0.527 4.400
Na H Pt
1 8 2
Direct
0.500 0.000 0.000
0.000 0.123 0.284
0.000 0.406 0.716
0.394 0.500 0.000
0.500 0.772 0.457
0.500 0.228 0.543
0.606 0.500 0.000
0.000 0.594 0.284
0.000 0.877 0.716
0.000 0.230 0.540
0.000 0.770 0.460
```

Calculated values
* uncorrected energy: -3.7743 eV per atom

No. 2
First-principles (PBE) data for an optimized crystal structure of NaH8Pt2, as listed in Alexandria.

Cell and atoms, written as POSCAR:
```
NaH8Pt2
1.0
4.906 0.279 -0.280
-0.773 4.468 -1.330
0.459 -0.582 4.731
Na H Pt
1 8 2
Direct
0.500 0.000 0.000
0.889 0.972 0.667
0.074 0.697 0.984
0.226 0.553 0.474
0.621 0.708 0.234
0.379 0.292 0.766
0.774 0.447 0.526
0.926 0.303 0.016
0.111 0.028 0.333
0.076 0.338 0.676
0.924 0.662 0.324
```

Calculated values
* uncorrected energy: -3.7165 eV per atom

No. 3
First-principles (PBE) data for an optimized crystal structure of Na2H4Pt, as listed in Alexandria.

Cell and atoms, written as POSCAR:
```
Na2H4Pt
1.0
-3.773 4.297 1.962
-3.673 -2.190 -2.270
1.756 -6.401 3.333
Na H Pt
4 8 2
Direct
0.716 0.750 0.103
0.284 0.250 0.897
0.285 0.250 0.388
0.715 0.750 0.612
0.458 0.512 0.229
0.197 0.750 0.874
0.803 0.250 0.126
0.458 0.988 0.229
0.803 0.250 0.678
0.542 0.012 0.771
0.542 0.488 0.771
0.197 0.750 0.322
0.208 0.750 0.104
0.792 0.250 0.896
```

Calculated values
* uncorrected energy: -3.4544 eV per atom

No. 4
First-principles (PBE) data for an optimized crystal structure of NaH7Pt2, as listed in Alexandria.

Cell and atoms, written as POSCAR:
```
NaH7Pt2
1.0
-2.248 -2.481 -1.312
1.991 0.878 -5.070
2.138 -3.753 3.433
Na H Pt
1 7 2
Direct
0.000 0.000 0.000
0.000 0.671 0.329
0.000 0.329 0.671
0.500 0.035 0.332
0.500 0.965 0.668
0.500 0.332 0.035
0.500 0.668 0.965
0.500 0.500 0.500
0.500 0.685 0.315
0.500 0.315 0.685
```

Calculated values
* uncorrected energy: -3.7887 eV per atom

No. 5
First-principles (PBE) data for an optimized crystal structure of NaH2Pt2, as listed in Alexandria.

Cell and atoms, written as POSCAR:
```
NaH2Pt2
1.0
-3.920 3.736 -3.870
3.487 -1.881 -5.348
-1.773 -2.241 -0.368
Na Pt H
2 4 4
Direct
0.000 0.000 0.000
0.500 0.500 0.000
0.139 0.639 0.500
0.639 0.861 0.500
0.861 0.361 0.500
0.361 0.139 0.500
0.240 0.740 0.000
0.740 0.760 0.000
0.760 0.260 0.000
0.260 0.240 0.000
```

Calculated values
* uncorrected energy: -3.9775 eV per atom

No. 6
First-principles (PBE) data for an optimized crystal structure of Na4H4Pt, as listed in Alexandria.

Cell and atoms, written as POSCAR:
```
Na4H4Pt
1.0
4.860 0.000 0.000
2.430 5.193 0.000
2.430 0.000 5.193
Na H Pt
4 4 1
Direct
0.779 0.613 0.830
0.221 0.387 0.170
0.609 0.170 0.613
0.391 0.830 0.387
0.776 0.282 0.166
0.224 0.718 0.834
0.942 0.834 0.282
0.058 0.166 0.718
0.000 0.000 0.000
```

Calculated values
* uncorrected energy: -2.9725 eV per atom

No. 7
First-principles (PBE) data for an optimized crystal structure of Na3H12Pt5, as listed in Alexandria.

Cell and atoms, written as POSCAR:
```
Na3H12Pt5
1.0
10.101 0.000 0.000
-3.367 9.523 0.000
-3.367 -4.762 8.247
Na Pt H
12 20 48
Direct
0.750 0.375 0.125
0.875 0.750 0.125
0.375 0.750 0.625
0.250 0.125 0.375
0.875 0.125 0.250
0.375 0.625 0.250
0.625 0.375 0.750
0.125 0.875 0.750
0.750 0.875 0.625
0.625 0.250 0.375
0.125 0.250 0.875
0.250 0.625 0.875
0.125 0.375 0.250
0.000 0.500 0.000
0.000 0.000 0.000
0.375 0.250 0.125
0.500 0.000 0.500
0.500 0.500 0.000
0.125 0.750 0.375
0.750 0.125 0.875
0.750 0.625 0.375
0.375 0.125 0.750
0.625 0.875 0.250
0.500 0.500 0.500
0.500 0.000 0.000
0.000 0.000 0.500
0.250 0.375 0.625
0.250 0.875 0.125
0.000 0.500 0.500
0.875 0.250 0.625
0.625 0.750 0.875
0.875 0.625 0.750
0.685 0.107 0.012
0.327 0.512 0.405
0.988 0.393 0.315
0.512 0.185 0.107
0.578 0.685 0.673
0.988 0.595 0.173
0.327 0.815 0.422
0.095 0.922 0.107
0.595 0.988 0.673
0.685 0.578 0.173
0.815 0.488 0.393
0.827 0.905 0.012
0.107 0.685 0.512
0.393 0.405 0.078
0.078 0.905 0.393
0.422 0.107 0.595
0.078 0.173 0.185
0.488 0.673 0.095
0.827 0.922 0.315
0.107 0.422 0.095
0.393 0.988 0.815
0.595 0.607 0.422
0.905 0.827 0.512
0.815 0.327 0.922
0.405 0.393 0.578
0.095 0.173 0.488
0.185 0.673 0.078
0.173 0.078 0.685
0.607 0.012 0.185
0.893 0.578 0.905
0.512 0.327 0.905
0.578 0.893 0.405
0.922 0.827 0.815
0.922 0.095 0.607
0.893 0.315 0.488
0.173 0.095 0.988
0.607 0.595 0.922
0.405 0.012 0.327
0.315 0.422 0.827
0.185 0.512 0.607
0.905 0.078 0.893
0.673 0.185 0.578
0.488 0.815 0.893
0.012 0.405 0.827
0.422 0.315 0.327
0.012 0.607 0.685
0.673 0.488 0.595
0.315 0.893 0.988
```

Calculated values
* uncorrected energy: -3.8288 eV per atom

No. 8
First-principles (PBE) data for an optimized crystal structure of Na3H2Pt, as listed in Alexandria.

Cell and atoms, written as POSCAR:
```
Na3H2Pt
1.0
5.724 -0.624 0.000
-0.978 5.674 0.000
0.000 0.000 6.036
Na H Pt
6 4 2
Direct
0.743 0.743 0.750
0.257 0.257 0.250
0.264 0.736 0.500
0.264 0.736 0.000
0.736 0.264 0.500
0.736 0.264 0.000
0.593 0.593 0.250
0.407 0.407 0.750
0.000 0.000 0.500
0.000 0.000 0.000
0.832 0.832 0.250
0.168 0.168 0.750
```

Calculated values
* uncorrected energy: -2.9293 eV per atom

No. 9
First-principles (PBE) data for an optimized crystal structure of NaH5Pt, as listed in Alexandria.

Cell and atoms, written as POSCAR:
```
NaH5Pt
1.0
5.392 0.000 0.000
-2.696 3.549 -1.549
0.000 -0.268 6.864
Na H Pt
2 10 2
Direct
0.503 0.000 0.250
0.497 0.000 0.750
0.955 0.340 0.076
0.930 0.317 0.583
0.385 0.340 0.576
0.992 0.000 0.250
0.613 0.683 0.917
0.387 0.317 0.083
0.008 0.000 0.750
0.615 0.660 0.424
0.070 0.683 0.417
0.045 0.660 0.924
0.000 0.000 0.000
0.000 0.000 0.500
```

Calculated values
* uncorrected energy: -3.5519 eV per atom

No. 10
First-principles (PBE) data for an optimized crystal structure of NaH2Pt, as listed in Alexandria.

Cell and atoms, written as POSCAR:
```
NaH2Pt
1.0
-2.855 -0.408 -0.154
0.472 -1.309 -5.259
2.163 -5.501 1.563
Na H Pt
2 4 2
Direct
0.641 0.750 0.783
0.359 0.250 0.217
0.000 0.500 0.500
0.000 0.000 0.500
0.319 0.750 0.139
0.681 0.250 0.861
0.095 0.250 0.689
0.905 0.750 0.311
```

Calculated values
* uncorrected energy: -3.7178 eV per atom

No. 11
First-principles (PBE) data for an optimized crystal structure of NaHPt, as listed in Alexandria.

Cell and atoms, written as POSCAR:
```
NaHPt
1.0
5.278 0.000 0.000
0.000 5.389 0.888
0.001 -1.157 13.066
Na Pt H
8 8 8
Direct
0.110 0.131 0.514
0.141 0.982 0.070
0.132 0.460 0.204
0.135 0.568 0.659
0.641 0.018 0.930
0.610 0.869 0.486
0.632 0.540 0.796
0.635 0.432 0.341
0.895 0.937 0.281
0.132 0.281 0.866
0.119 0.653 0.430
0.135 0.771 0.861
0.619 0.347 0.570
0.632 0.719 0.134
0.635 0.229 0.139
0.395 0.063 0.719
0.373 0.494 0.492
0.582 0.489 0.053
0.062 0.038 0.783
0.183 0.913 0.343
0.873 0.506 0.508
0.082 0.511 0.947
0.562 0.962 0.217
0.683 0.087 0.657
```

Calculated values
* uncorrected energy: -3.7953 eV per atom

No. 12
First-principles (PBE) data for an optimized crystal structure of Na3H9Pt2, as listed in Alexandria.

Cell and atoms, written as POSCAR:
```
Na3H9Pt2
1.0
5.050 0.000 0.000
-2.525 4.374 0.000
0.000 0.000 6.355
Na H Pt
3 9 2
Direct
0.667 0.333 0.652
0.000 0.000 0.000
0.333 0.667 0.348
0.174 0.826 0.686
0.174 0.348 0.686
0.500 0.500 0.000
0.826 0.652 0.314
0.348 0.174 0.314
0.652 0.826 0.686
0.826 0.174 0.314
0.000 0.500 0.000
0.500 0.000 0.000
0.667 0.333 0.170
0.333 0.667 0.830
```

Calculated values
* uncorrected energy: -3.5539 eV per atom

No. 13
First-principles (PBE) data for an optimized crystal structure of NaH2Pt2, as listed in Alexandria.

Cell and atoms, written as POSCAR:
```
NaH2Pt2
1.0
-1.332 -4.069 3.556
-3.456 -2.175 -3.783
5.479 0.810 -1.376
Na H Pt
2 4 4
Direct
0.881 0.881 0.762
0.131 0.631 0.262
0.683 0.982 0.366
0.634 0.433 0.866
0.232 0.433 0.866
0.683 0.384 0.366
0.467 0.724 0.934
0.460 0.217 0.434
0.974 0.217 0.434
0.467 0.210 0.934
```

Calculated values
* uncorrected energy: -4.2428 eV per atom

No. 14
First-principles (PBE) data for an optimized crystal structure of NaH2Pt, as listed in Alexandria.

Cell and atoms, written as POSCAR:
```
NaH2Pt
1.0
3.961 0.000 0.000
0.000 4.993 -0.255
0.000 -1.178 9.439
Na H Pt
4 8 4
Direct
0.250 0.958 0.374
0.750 0.042 0.626
0.250 0.542 0.126
0.750 0.458 0.874
0.750 0.958 0.917
0.250 0.042 0.083
0.750 0.542 0.583
0.250 0.458 0.417
0.750 0.427 0.208
0.250 0.573 0.792
0.750 0.073 0.292
0.250 0.927 0.708
0.250 0.576 0.608
0.750 0.424 0.392
0.250 0.924 0.892
0.750 0.076 0.108
```

Calculated values
* uncorrected energy: -3.7116 eV per atom

No. 15
First-principles (PBE) data for an optimized crystal structure of NaHPt2, as listed in Alexandria.

Cell and atoms, written as POSCAR:
```
NaHPt2
1.0
2.791 0.000 0.000
1.395 2.417 0.000
1.395 0.806 8.163
Na Pt H
1 2 1
Direct
0.000 0.000 0.000
0.111 0.111 0.667
0.889 0.889 0.333
0.500 0.500 0.500
```

Calculated values
* uncorrected energy: -4.0758 eV per atom

No. 16
First-principles (PBE) data for an optimized crystal structure of NaH2Pt, as listed in Alexandria.

Cell and atoms, written as POSCAR:
```
NaH2Pt
1.0
-3.034 -3.296 -0.430
1.377 -0.716 -4.225
2.401 -5.185 -0.736
Na Pt H
2 2 4
Direct
0.500 0.500 0.000
0.250 0.750 0.500
0.000 0.000 0.000
0.750 0.250 0.500
0.751 0.125 0.250
0.999 0.625 0.250
0.375 0.249 0.750
0.875 0.001 0.750
```

Calculated values
* uncorrected energy: -3.6920 eV per atom

No. 17
First-principles (PBE) data for an optimized crystal structure of Na3H8Pt2, as listed in Alexandria.

Cell and atoms, written as POSCAR:
```
Na3H8Pt2
1.0
5.132 0.000 0.000
2.566 4.444 0.000
2.566 1.481 6.386
Na H Pt
3 8 2
Direct
0.000 0.000 0.000
0.784 0.784 0.648
0.216 0.216 0.352
0.657 0.657 0.030
0.343 0.343 0.970
0.190 0.750 0.309
0.750 0.190 0.309
0.750 0.750 0.309
0.250 0.810 0.691
0.810 0.250 0.691
0.250 0.250 0.691
0.571 0.571 0.287
0.429 0.429 0.713
```

Calculated values
* uncorrected energy: -3.3226 eV per atom

No. 18
First-principles (PBE) data for an optimized crystal structure of NaHPt, as listed in Alexandria.

Cell and atoms, written as POSCAR:
```
NaHPt
1.0
2.775 -0.319 0.163
0.745 6.892 1.259
-0.027 2.222 4.855
Na H Pt
2 2 2
Direct
0.744 0.786 0.907
0.250 0.210 0.098
0.251 0.150 0.579
0.745 0.847 0.425
0.750 0.325 0.522
0.246 0.672 0.482
```

Calculated values
* uncorrected energy: -3.8555 eV per atom